Crystalline CaPbS2 at its relaxed geometry, computed with PBE-GGA.

Unit cell a=4.4033 b=4.4033 c=24.5801 alpha=90.00 beta=90.00 gamma=120.00
Space group R-3m (No. 166, hexagonal axes)
Symmetry-distinct sites (fractional):
Ca  0.0000  0.0000  0.0000
Pb  0.0000  0.0000  0.5000
S  0.0000  0.0000  0.1030

## Properties
Formation energy without anion corrections, eV/atom: -0.591